CsCoC4O4: relaxed, GGA+U.

Properties
SG	I-4
ρ	2.5	g/cm³
calculated total energy	-70.2	eV/cell

Cell and atoms, written as extended XYZ:
```
10
Lattice="-4.3090 4.3090 2.7464 4.3090 -4.3090 2.7464 4.3090 4.3090 -2.7464" Properties=species:S:1:pos:R:3 pbc="T T T"
Cs 0.0000 0.0000 0.0000
Co 4.3090 0.0000 1.3732
C 3.8738 1.3107 0.3141
C 2.9982 -0.4351 2.4323
C 1.3107 4.7441 -0.3141
C 0.4351 2.9982 3.0604
O 3.5882 2.1856 -0.4190
O 2.1234 -0.7208 3.1653
O 2.1856 5.0297 0.4190
O 0.7208 2.1234 2.3274
```